Crystalline BaMnSi2 at its relaxed geometry. Source: Alexandria, functional GGA-PBE.

Values from the calculation:
Space-group type ... Pmm2, No. 25
Spin magnetization ... 3.48 μB per formula unit
Density of states at the Fermi level ... 2.53 states/eV per cell
Mass density ... 4417 kg/m³
Formation energy (no corrections) ... -0.0533 eV/atom

abc: 3.666 3.967 6.422
angles: 89.98 90.00 90.00
Each line ends with the local moment (μB).
Atoms (fractional coordinates):
Ba (0.000, 0.625, 0.462)  0.00
Mn (0.500, 0.625, 0.949)  3.32
Si (0.000, 0.125, 0.919)  -0.01
Si (0.500, 0.125, 0.171)  -0.04


Crystalline BaMnSi2 at its relaxed geometry. Source: Alexandria, functional GGA-PBE.

Values from the calculation:
Space-group type ... C2/m, No. 12
Spin magnetization ... 2.92 μB per formula unit
Density of states at the Fermi level ... 2.61 states/eV per cell
Mass density ... 4567 kg/m³
Formation energy (no corrections) ... -0.2353 eV/atom

abc: 4.320 4.320 6.402
angles: 73.78 73.78 52.72
Each line ends with the local moment (μB).
Atoms (fractional coordinates):
Ba (0.750, 0.750, 0.750)  0.00
Mn (0.250, 0.250, 0.250)  2.86
Si (0.968, 0.968, 0.139)  -0.04
Si (0.532, 0.532, 0.361)  -0.04